Record 1
Entry from Alexandria: an optimized crystal structure of PrNdSb2Rh5 (GGA-PBE).

Cell lengths 4.494, 4.494, 9.073 Å; angles 90.00, 90.00, 90.00 degrees
Positions (direct):
Pr (0.000, 0.000, 0.500)
Rh (0.000, 0.500, 0.715)
Rh (0.500, 0.000, 0.715)
Rh (0.500, 0.000, 0.285)
Rh (0.000, 0.500, 0.285)
Rh (0.500, 0.500, 0.500)
Sb (0.500, 0.500, 0.159)
Sb (0.500, 0.500, 0.841)
Nd (0.000, 0.000, 0.000)

Results
E_form (uncorrected)	-0.545	eV/atom
DOS(E_F)	5.5	states/eV/f.u.
size of the total moment	0.000	μB per cell

Record 2
Entry from Alexandria: an optimized crystal structure of PrNdSiRh (GGA-PBE).

Cell lengths 4.348, 4.156, 5.781 Å; angles 90.00, 112.09, 90.00 degrees
Positions (direct):
Pr (0.144, 0.000, 0.289)
Si (0.564, 0.500, 0.129)
Rh (0.429, 0.000, 0.859)
Nd (0.862, 0.500, 0.724)

Results
E_form (uncorrected)	-0.734	eV/atom
DOS(E_F)	3.3	states/eV/f.u.
size of the total moment	0.000	μB per cell

Record 3
Entry from Alexandria: an optimized crystal structure of PrNdTh2Rh4 (GGA-PBE).

Cell lengths 5.807, 5.807, 7.098 Å; angles 114.16, 114.16, 89.96 degrees
Positions (direct):
Rh (0.940, 0.438, 0.000)
Rh (0.684, 0.684, 0.498)
Rh (0.186, 0.186, 0.502)
Rh (0.438, 0.940, 0.000)
Th (0.186, 0.686, 0.500)
Th (0.686, 0.186, 0.500)
Pr (0.938, 0.938, 0.000)
Nd (0.440, 0.440, 0.000)

Results
DOS(E_F)	5.7	states/eV/f.u.
ΔE_f	-5.704	eV per formula unit
size of the total moment	0.000	μB per cell